Computed, not measured: a geometry-optimized KPmNp2O8 structure at the PBE-GGA level of DFT.

a b c (Å): 5.541 5.541 6.586
angles (deg): 114.88 114.88 90.00
Each line ends with the local moment (μB).
Fractional positions:
O: 0.604 0.151 0.785  -0.09
O: 0.849 0.820 0.215  -0.09
O: 0.180 0.633 0.785  -0.09
O: 0.352 0.855 0.272  -0.08
O: 0.920 0.416 0.272  -0.08
O: 0.584 0.648 0.728  -0.08
O: 0.145 0.080 0.728  -0.08
O: 0.367 0.396 0.215  -0.09
Pm: 0.000 0.000 0.000  0.00
K: 0.750 0.250 0.500  0.00
Np: 0.250 0.750 0.500  1.17
Np: 0.500 0.500 0.000  1.57

Properties
The value obtained for the uncorrected formation energy is -2650 meV per atom. The calculation puts the density of states at the Fermi level at 0.8382 states/eV/atom. The electronic total energy comes out at -8.60 eV/atom. Its space-group type is I-4 (82).



Computed, not measured: a geometry-optimized K2PmNpO6 structure at the PBE-GGA level of DFT.

a b c (Å): 6.179 6.179 6.179
angles (deg): 60.00 60.01 90.00
Fractional positions:
O: 0.268 0.268 0.000
O: 0.268 0.733 0.000
O: 0.732 0.267 0.000
O: 0.268 0.268 0.465
O: 0.732 0.732 0.000
O: 0.732 0.732 0.535
K: 0.750 0.250 0.500
K: 0.250 0.750 0.500
Pm: 0.000 0.000 0.000
Np: 0.500 0.500 0.000

Properties
The value obtained for the uncorrected formation energy is -2642 meV per atom. The electronic total energy comes out at -7.61 eV/atom. Its space-group type is Fm-3m (225).



Computed, not measured: a geometry-optimized K4Pm3NpO8 structure at the PBE-GGA level of DFT.

a b c (Å): 7.193 7.553 7.193
angles (deg): 118.43 120.00 90.00
Each line ends with the local moment (μB).
Fractional positions:
O: 0.270 0.310 0.540  0.00
O: 0.264 0.310 0.037  -0.03
O: 0.773 0.310 0.546  -0.03
O: 0.730 0.690 0.460  0.00
O: 0.227 0.690 0.963  -0.03
O: 0.227 0.690 0.454  -0.03
O: 0.773 0.310 0.037  -0.03
O: 0.736 0.690 0.963  -0.03
K: 0.000 0.000 0.500  0.01
K: 0.500 0.000 0.500  0.01
K: 0.000 0.000 0.000  0.01
K: 0.500 0.000 0.000  0.01
Np: 0.000 0.500 0.000  3.68
Pm: 0.500 0.500 0.000  0.05
Pm: 0.000 0.500 0.500  0.05
Pm: 0.500 0.500 0.500  0.05

Properties
The value obtained for the uncorrected formation energy is -2527 meV per atom. The calculation puts the density of states at the Fermi level at 0.5392 states/eV/atom. The electronic total energy comes out at -6.98 eV/atom. Its space-group type is R-3m (166).



Computed, not measured: a geometry-optimized K2PmNp3O12 structure at the PBE-GGA level of DFT.

a b c (Å): 7.851 7.851 7.851
angles (deg): 61.79 61.79 61.79
Each line ends with the local moment (μB).
Fractional positions:
O: 0.063 0.696 0.696  -0.04
O: 0.304 0.937 0.304  -0.04
O: 0.648 0.078 0.078  -0.03
O: 0.352 0.922 0.922  -0.03
O: 0.304 0.304 0.937  -0.04
O: 0.922 0.352 0.922  -0.03
O: 0.078 0.648 0.078  -0.03
O: 0.078 0.078 0.648  -0.03
O: 0.937 0.304 0.304  -0.04
O: 0.696 0.696 0.063  -0.04
O: 0.922 0.922 0.352  -0.03
O: 0.696 0.063 0.696  -0.04
Np: 0.500 0.000 0.000  0.82
Np: 0.000 0.000 0.500  0.82
Np: 0.000 0.500 0.000  0.82
K: 0.331 0.331 0.331  0.00
K: 0.669 0.669 0.669  0.00
Pm: 0.000 0.000 0.000  -0.01

Properties
The value obtained for the uncorrected formation energy is -2704 meV per atom. The calculation puts the density of states at the Fermi level at 0.5874 states/eV/atom. The electronic total energy comes out at -8.55 eV/atom. Its space-group type is R-3m (166).